# 1
Entry from Alexandria via LeMat-Bulk: crystalline SmErAlPd at its relaxed geometry (PBE).

abc: 4.4953 3.8061 11.2593
angles: 90.00 90.00 90.00
With the nearest neighbours (Å) after each atom.
Space group Amm2 (No. 38)
Asymmetric unit:
Sm  0.0000  0.0000  0.0000 x2  4 Pd 3.09, 3 Al 3.13-3.14
Er  0.5000  0.0000  0.2901 x2  3 Pd 3.01-3.30, 4 Al 3.05
Al  0.0000  0.0000  0.7210 x2  2 Pd 2.73, 4 Er 3.05
Pd  0.5000  0.0000  0.5833 x2  2 Al 2.73, 2 Er 3.01

Results
volume: 192.64 Å³ per cell
crystal system: orthorhombic
polymorph energy (0 for the lowest one): 0.000 eV/atom
raw total energy: -5.15 eV per atom


# 2
Entry from Alexandria via LeMat-Bulk: crystalline SmErAlPd at its relaxed geometry (PBE).

abc: 7.1999 7.1999 7.1999
angles: 90.00 90.00 90.00
With the nearest neighbours (Å) after each atom.
Space group F-43m (No. 216)
Asymmetric unit:
Sm  0.0000  0.0000  0.0000 x4  4 Pd 3.12, 4 Al 3.12
Er  0.0000  0.0000  0.5000 x4  4 Al 3.12, 4 Pd 3.12
Al  0.2500  0.2500  0.2500 x4  4 Sm 3.12, 4 Er 3.12
Pd  0.2500  0.2500  0.7500 x4  4 Er 3.12, 4 Sm 3.12

Results
volume: 373.24 Å³ per cell
crystal system: cubic
polymorph energy (0 for the lowest one): 0.049 eV/atom
raw total energy: -5.10 eV per atom